No. 1
Material: AcTbCeEr
Method: DFT, PBE
State: optimized geometry

Summary:
The energy of formation comes out at 0.74 eV per formula unit. The value obtained for the total magnetic moment is 0.7 Bohr magnetons per cell.

```
AcTbCeEr
1.0
0.000 4.114 4.114
4.114 0.000 4.114
4.114 4.114 0.000
Ac Tb Ce Er
1 1 1 1
Direct
0.000 0.000 0.000
0.750 0.750 0.750
0.500 0.500 0.500
0.250 0.250 0.250
```

***

No. 2
Material: NaSi2TeOs
Method: DFT, PBE
State: optimized geometry

Summary:
For the formation energy from raw total energies, the calculation gives 0.15 eV/atom. The value obtained for the total magnetic moment is 0.0 Bohr magnetons per cell.

```
NaSi2TeOs
1.0
4.541 0.000 0.000
0.000 4.541 0.000
0.000 0.000 6.183
Na Si Te Os
1 2 1 1
Direct
0.000 0.000 0.000
0.000 0.500 0.500
0.500 0.000 0.500
0.500 0.500 0.000
0.500 0.500 0.500
```

***

No. 3
Material: Ca2Mn2Rh
Method: DFT, PBE
State: optimized geometry

Summary:
The energy of formation comes out at 5.14 eV per formula unit. The value obtained for the total magnetic moment is 8.7 Bohr magnetons per cell.

```
Ca2Mn2Rh
1.0
-2.014 2.014 6.844
2.014 -2.014 6.844
2.014 2.014 -6.844
Ca Mn Rh
2 2 1
Direct
0.250 0.750 0.500
0.750 0.250 0.500
0.087 0.087 0.000
0.913 0.913 0.000
0.500 0.500 0.000
```

***

No. 4
Material: Cd2BAsPt6
Method: DFT, PBE
State: optimized geometry

Summary:
The energy of formation comes out at -2.01 eV per formula unit. The value obtained for the total magnetic moment is 0.0 Bohr magnetons per cell.

```
Cd2BAsPt6
1.0
3.949 -3.982 0.000
3.949 3.982 0.000
-3.791 0.000 5.687
Cd B As Pt
2 1 1 6
Direct
0.241 0.759 0.000
0.759 0.241 0.000
0.528 0.528 0.577
0.059 0.059 0.628
0.195 0.195 0.388
0.198 0.686 0.396
0.280 0.280 0.036
0.686 0.198 0.396
0.689 0.689 0.400
0.706 0.706 0.934
```

***

No. 5
Material: SbPb3Cl3
Method: DFT, PBE
State: optimized geometry

Summary:
For the formation energy from raw total energies, the calculation gives -0.73 eV/atom. The value obtained for the total magnetic moment is 0.0 Bohr magnetons per cell.

```
SbPb3Cl3
1.0
8.808 0.000 0.000
0.000 4.544 0.000
-1.798 0.000 12.119
Sb Pb Cl
2 6 6
Direct
0.153 0.250 0.140
0.847 0.750 0.860
0.094 0.250 0.879
0.197 0.250 0.399
0.397 0.750 0.141
0.603 0.250 0.859
0.803 0.750 0.601
0.906 0.750 0.121
0.022 0.250 0.621
0.353 0.750 0.897
0.413 0.750 0.382
0.587 0.250 0.618
0.647 0.250 0.103
0.978 0.750 0.379
```

***

No. 6
Material: Ti6Tc5Pt
Method: DFT, PBE
State: optimized geometry

Summary:
The energy of formation comes out at -7.64 eV per formula unit. The value obtained for the total magnetic moment is 0.0 Bohr magnetons per cell.

```
Ti6Tc5Pt
1.0
-2.197 3.105 6.606
2.197 -3.105 6.606
2.197 3.105 -6.606
Ti Tc Pt
6 5 1
Direct
0.076 0.330 0.746
0.242 0.000 0.242
0.416 0.670 0.746
0.584 0.330 0.254
0.758 0.000 0.758
0.924 0.670 0.254
0.000 0.500 0.500
0.167 0.167 0.000
0.336 0.836 0.500
0.664 0.164 0.500
0.833 0.833 0.000
0.500 0.500 0.000
```

***

No. 7
Material: LiAu
Method: DFT, PBE
State: optimized geometry

Summary:
The energy of formation comes out at -0.69 eV per formula unit. The value obtained for the total magnetic moment is 0.0 Bohr magnetons per cell.

```
LiAu
1.0
7.962 0.000 0.000
0.000 7.962 0.000
0.000 0.000 4.730
Li Au
8 8
Direct
0.079 0.316 0.000
0.079 0.684 0.500
0.316 0.079 0.500
0.316 0.921 0.000
0.684 0.079 0.000
0.684 0.921 0.500
0.921 0.316 0.500
0.921 0.684 0.000
0.249 0.396 0.500
0.249 0.604 0.000
0.396 0.249 0.000
0.396 0.751 0.500
0.604 0.249 0.500
0.604 0.751 0.000
0.751 0.396 0.000
0.751 0.604 0.500
```

***

No. 8
Material: Tb2ZnGePb
Method: DFT, PBE
State: optimized geometry

Summary:
The energy of formation comes out at -2.72 eV per formula unit. The value obtained for the total magnetic moment is 0.0 Bohr magnetons per cell.

```
Tb2ZnGePb
1.0
4.492 0.000 0.000
0.000 7.383 0.000
0.000 0.000 7.638
Tb Zn Ge Pb
4 2 2 2
Direct
0.250 0.009 0.216
0.250 0.491 0.216
0.750 0.509 0.784
0.750 0.991 0.784
0.250 0.750 0.596
0.750 0.250 0.404
0.250 0.750 0.920
0.750 0.250 0.080
0.250 0.250 0.609
0.750 0.750 0.391
```

***

no.,volume (Å³ per cell),theoretical density (g/cm3),uncorrected energy (Ry per atom)
1,139,8.27,-0.340
2,127,5.17,-0.379
3,111,4.38,-0.361
4,179,13.75,-0.378
5,485,5.82,-0.272
6,180,8.96,-0.691
7,300,9.03,-0.216
8,253,8.69,-0.317